(1)
VASP calculation (PBE-GGA) on a relaxed La5TbHg3 crystal.

Geometry as CIF:
```
data_La5TbHg3
_space_group_name_H-M_alt 'P 63/m c m'
_space_group_IT_number 193
_space_group_name_Hall '-P 6c 2'
_cell_length_a 9.5197
_cell_length_b 9.5197
_cell_length_c 7.1033
_cell_angle_alpha 90.00
_cell_angle_beta 90.00
_cell_angle_gamma 120.00
loop_
_atom_site_label
_atom_site_type_symbol
_atom_site_fract_x
_atom_site_fract_y
_atom_site_fract_z
_atom_site_occupancy
La1 La 0.0000 0.3382 0.2500 1
La2 La 0.3333 0.6667 0.0000 1
Tb1 Tb 0.0000 0.0000 0.0000 1
Hg1 Hg 0.0000 0.3222 0.7500 1
```

Output
The total energy is -32.9 eV/f.u. The density comes out at 8.67 g/cm3. The calculation puts the formation energy at -0.30 eV/atom.

(2)
VASP calculation (PBE-GGA) on a relaxed La3TbHg crystal.

Geometry as CIF:
```
data_La3TbHg
_space_group_name_H-M_alt 'P m m n'
_space_group_IT_number 59
_cell_length_a 3.895
_cell_length_b 10.893
_cell_length_c 8.250
_cell_angle_alpha 90.00
_cell_angle_beta 90.00
_cell_angle_gamma 90.00
loop_
_space_group_symop_operation_xyz
'x,y,z'
'-x,-y,-z'
'-x+1/2,-y+1/2,z'
'x+1/2,y+1/2,-z'
'x+1/2,-y,-z'
'-x+1/2,y,z'
'-x,y+1/2,-z'
'x,-y+1/2,z'
loop_
_atom_site_label
_atom_site_type_symbol
_atom_site_fract_x
_atom_site_fract_y
_atom_site_fract_z
_atom_site_occupancy
La1 La 0.250 0.002 0.245 1
La2 La 0.250 0.250 0.548 1
Tb1 Tb 0.250 0.250 0.941 1
Hg1 Hg 0.250 0.750 0.773 1
```

Output
The total energy is -20.2 eV/f.u. The density comes out at 7.36 g/cm3. The calculation puts the formation energy at -0.10 eV/atom.

(3)
VASP calculation (PBE-GGA) on a relaxed LaTb4Hg crystal.

Geometry as CIF:
```
data_LaTb4Hg
_space_group_name_H-M_alt 'P 4/m m m'
_space_group_IT_number 123
_space_group_name_Hall '-P 4 2'
_cell_length_a 3.640
_cell_length_b 3.640
_cell_length_c 14.004
_cell_angle_alpha 90.00
_cell_angle_beta 90.00
_cell_angle_gamma 90.00
loop_
_atom_site_label
_atom_site_type_symbol
_atom_site_fract_x
_atom_site_fract_y
_atom_site_fract_z
_atom_site_occupancy
La1 La 0.000 0.000 0.000 1
Tb1 Tb 0.000 0.000 0.359 1
Tb2 Tb 0.500 0.500 0.183 1
Hg1 Hg 0.500 0.500 0.500 1
```

Output
The total energy is -24.6 eV/f.u. The density comes out at 8.73 g/cm3. The calculation puts the formation energy at -0.14 eV/atom.

(4)
VASP calculation (PBE-GGA) on a relaxed La2TbHg4 crystal.

Geometry as CIF:
```
data_La2TbHg4
_space_group_name_H-M_alt 'R -3 m'
_space_group_IT_number 166
_space_group_name_Hall '-R 3 2"'
_cell_length_a 5.2367
_cell_length_b 5.2367
_cell_length_c 27.4005
_cell_angle_alpha 90.00
_cell_angle_beta 90.00
_cell_angle_gamma 120.00
loop_
_atom_site_label
_atom_site_type_symbol
_atom_site_fract_x
_atom_site_fract_y
_atom_site_fract_z
_atom_site_occupancy
La1 La 0.0000 0.0000 0.2443 1
Tb1 Tb 0.0000 0.0000 0.0000 1
Hg1 Hg 0.0000 0.0000 0.1266 1
Hg2 Hg 0.0000 0.0000 0.3690 1
```

Output
The total energy is -18.3 eV/f.u. The density comes out at 9.49 g/cm3. The calculation puts the formation energy at -0.37 eV/atom.

(5)
VASP calculation (PBE-GGA) on a relaxed La3TbHg6 crystal.

Geometry as CIF:
```
data_La3TbHg6
_space_group_name_H-M_alt 'P 1 21/m 1'
_space_group_IT_number 11
_space_group_name_Hall '-P 2yb'
_cell_length_a 9.614
_cell_length_b 5.280
_cell_length_c 11.448
_cell_angle_alpha 90.00
_cell_angle_beta 107.21
_cell_angle_gamma 90.00
loop_
_atom_site_label
_atom_site_type_symbol
_atom_site_fract_x
_atom_site_fract_y
_atom_site_fract_z
_atom_site_occupancy
La1 La 0.010 0.250 0.381 1
La2 La 0.149 0.750 0.222 1
La3 La 0.275 0.250 0.988 1
Tb1 Tb 0.443 0.250 0.598 1
Hg1 Hg 0.031 0.750 0.920 1
Hg2 Hg 0.174 0.250 0.694 1
Hg3 Hg 0.268 0.750 0.514 1
Hg4 Hg 0.356 0.750 0.820 1
Hg5 Hg 0.361 0.250 0.306 1
Hg6 Hg 0.441 0.750 0.120 1
```

Output
The total energy is -25.8 eV/f.u. The density comes out at 10.64 g/cm3. The calculation puts the formation energy at -0.46 eV/atom.

(6)
VASP calculation (PBE-GGA) on a relaxed La2TbHg2 crystal.

Geometry as CIF:
```
data_La2TbHg2
_space_group_name_H-M_alt 'P 1 21/m 1'
_space_group_IT_number 11
_space_group_name_Hall '-P 2yb'
_cell_length_a 3.793
_cell_length_b 5.403
_cell_length_c 14.626
_cell_angle_alpha 90.00
_cell_angle_beta 97.42
_cell_angle_gamma 90.00
loop_
_atom_site_label
_atom_site_type_symbol
_atom_site_fract_x
_atom_site_fract_y
_atom_site_fract_z
_atom_site_occupancy
La1 La 0.043 0.250 0.085 1
La2 La 0.232 0.250 0.466 1
Tb1 Tb 0.148 0.750 0.294 1
Hg1 Hg 0.362 0.750 0.722 1
Hg2 Hg 0.440 0.250 0.882 1
```

Output
The total energy is -17.0 eV/f.u. The density comes out at 9.36 g/cm3. The calculation puts the formation energy at -0.37 eV/atom.

(7)
VASP calculation (PBE-GGA) on a relaxed La3Tb3Hg2 crystal.

Geometry as CIF:
```
data_La3Tb3Hg2
_space_group_name_H-M_alt 'C m c m'
_space_group_IT_number 63
_space_group_name_Hall '-C 2c 2'
_cell_length_a 5.265
_cell_length_b 12.025
_cell_length_c 16.172
_cell_angle_alpha 90.00
_cell_angle_beta 90.00
_cell_angle_gamma 90.00
loop_
_atom_site_label
_atom_site_type_symbol
_atom_site_fract_x
_atom_site_fract_y
_atom_site_fract_z
_atom_site_occupancy
La1 La 0.000 0.040 0.109 1
La2 La 0.000 0.292 0.250 1
Tb1 Tb 0.000 0.360 0.035 1
Tb2 Tb 0.000 0.426 0.750 1
Hg1 Hg 0.000 0.233 0.623 1
```

Output
The total energy is -30.8 eV/f.u. The density comes out at 8.40 g/cm3. The calculation puts the formation energy at -0.19 eV/atom.

(8)
VASP calculation (PBE-GGA) on a relaxed La2Tb6Hg crystal.

Geometry as CIF:
```
data_La2Tb6Hg
_space_group_name_H-M_alt 'I m m m'
_space_group_IT_number 71
_space_group_name_Hall '-I 2 2'
_cell_length_a 3.616
_cell_length_b 10.313
_cell_length_c 15.711
_cell_angle_alpha 90.00
_cell_angle_beta 90.00
_cell_angle_gamma 90.00
loop_
_atom_site_label
_atom_site_type_symbol
_atom_site_fract_x
_atom_site_fract_y
_atom_site_fract_z
_atom_site_occupancy
La1 La 0.000 0.000 0.141 1
Tb1 Tb 0.000 0.267 0.500 1
Tb2 Tb 0.000 0.341 0.180 1
Hg1 Hg 0.000 0.500 0.000 1
```

Output
The total energy is -38.0 eV/f.u. The density comes out at 8.12 g/cm3. The calculation puts the formation energy at -0.01 eV/atom.

(9)
VASP calculation (PBE-GGA) on a relaxed La3TbHg4 crystal.

Geometry as CIF:
```
data_La3TbHg4
_space_group_name_H-M_alt 'P 4/m m m'
_space_group_IT_number 123
_space_group_name_Hall '-P 4 2'
_cell_length_a 3.845
_cell_length_b 3.845
_cell_length_c 15.646
_cell_angle_alpha 90.00
_cell_angle_beta 90.00
_cell_angle_gamma 90.00
loop_
_atom_site_label
_atom_site_type_symbol
_atom_site_fract_x
_atom_site_fract_y
_atom_site_fract_z
_atom_site_occupancy
La1 La 0.000 0.000 0.000 1
La2 La 0.000 0.000 0.257 1
Tb1 Tb 0.000 0.000 0.500 1
Hg1 Hg 0.500 0.500 0.127 1
Hg2 Hg 0.500 0.500 0.389 1
```

Output
The total energy is -24.6 eV/f.u. The density comes out at 9.89 g/cm3. The calculation puts the formation energy at -0.49 eV/atom.

(10)
VASP calculation (PBE-GGA) on a relaxed LaTb4Hg4 crystal.

Geometry as CIF:
```
data_LaTb4Hg4
_space_group_name_H-M_alt 'P 42/n'
_space_group_IT_number 86
_cell_length_a 9.698
_cell_length_b 9.698
_cell_length_c 5.527
_cell_angle_alpha 90.00
_cell_angle_beta 90.00
_cell_angle_gamma 90.00
loop_
_space_group_symop_operation_xyz
'x,y,z'
'-x,-y,-z'
'-y,x+1/2,z+1/2'
'y,-x+1/2,-z+1/2'
'-x+1/2,-y+1/2,z'
'x+1/2,y+1/2,-z'
'y+1/2,-x,z+1/2'
'-y+1/2,x,-z+1/2'
loop_
_atom_site_label
_atom_site_type_symbol
_atom_site_fract_x
_atom_site_fract_y
_atom_site_fract_z
_atom_site_occupancy
La1 La 0.250 0.250 0.250 1
Tb1 Tb 0.102 0.840 0.677 1
Hg1 Hg 0.042 0.145 0.823 1
```

Output
The total energy is -27.0 eV/f.u. The density comes out at 10.08 g/cm3. The calculation puts the formation energy at -0.26 eV/atom.

(11)
VASP calculation (PBE-GGA) on a relaxed LaTb2Hg4 crystal.

Geometry as CIF:
```
data_LaTb2Hg4
_space_group_name_H-M_alt 'C m m m'
_space_group_IT_number 65
_space_group_name_Hall '-C 2 2'
_cell_length_a 7.291
_cell_length_b 10.883
_cell_length_c 5.178
_cell_angle_alpha 90.00
_cell_angle_beta 90.00
_cell_angle_gamma 90.00
loop_
_atom_site_label
_atom_site_type_symbol
_atom_site_fract_x
_atom_site_fract_y
_atom_site_fract_z
_atom_site_occupancy
La1 La 0.000 0.000 0.000 1
Tb1 Tb 0.000 0.259 0.500 1
Hg1 Hg 0.224 0.500 0.500 1
Hg2 Hg 0.250 0.250 0.000 1
```

Output
The total energy is -18.1 eV/f.u. The density comes out at 10.18 g/cm3. The calculation puts the formation energy at -0.39 eV/atom.